Run P
A plane-wave DFT calculation with PBE with a Hubbard U was carried out for MnIrIO2 after structural relaxation.

Cell: 3.8407 3.8407 7.5491 Å, 90.00 90.00 90.00°
Last column: nearest neighbours and their distance in Å.
Space group P4/mmm (No. 123)
One atom of each set of equivalent atoms:
Mn: 0.0000 0.0000 0.0000 [1 per cell]  4 I 2.72
Ir: 0.5000 0.5000 0.5000 [1 per cell]  4 O 1.92
I: 0.5000 0.5000 0.0000 [1 per cell]  4 Mn 2.72
O: 0.0000 0.5000 0.5000 [2 per cell]  2 Ir 1.92



Run Q
A plane-wave DFT calculation with PBE with a Hubbard U was carried out for MnIrIO2 after structural relaxation.

Cell: 3.7283 3.7283 7.4093 Å, 90.00 90.00 90.00°
Last column: nearest neighbours and their distance in Å.
Space group P4/mmm (No. 123)
One atom of each set of equivalent atoms:
Mn: 0.0000 0.0000 0.0000 [1 per cell]  4 O 1.86
Ir: 0.5000 0.5000 0.5000 [1 per cell]  4 I 2.64
I: 0.0000 0.0000 0.5000 [1 per cell]  4 Ir 2.64
O: 0.0000 0.5000 0.0000 [2 per cell]  2 Mn 1.86



Which is most stable? The ranking, best first, is run P, run Q.